[1]
! TbDy4Bi5 PBE optimized geometry; values from VASP
! formation energy from the elements	-8.6	eV/f.u.
! VASP energy	-5.1087	eV per atom
&SYSTEM
  ibrav = 0, nat = 10, ntyp = 3
/
ATOMIC_SPECIES
Tb 158.93 Tb.upf
Dy 162.50 Dy.upf
Bi 208.98 Bi.upf
CELL_PARAMETERS angstrom
4.476 0.000 0.000
0.000 4.476 0.000
-2.238 -2.238 15.821
ATOMIC_POSITIONS angstrom
Tb 0.000 0.000 0.000
Dy 0.000 0.000 12.657
Dy 2.238 2.238 9.487
Dy 0.000 0.000 6.334
Dy 2.238 2.238 3.164
Bi 0.000 0.000 3.172
Bi 2.238 2.238 0.000
Bi 2.238 2.238 12.648
Bi 0.000 0.000 9.495
Bi 2.238 2.238 6.326

---

[2]
! TbDy2Bi4 PBE optimized geometry; values from VASP
! formation energy from the elements	-4.2	eV/f.u.
! VASP energy	-4.7946	eV per atom
&SYSTEM
  ibrav = 0, nat = 14, ntyp = 3
/
ATOMIC_SPECIES
Tb 158.93 Tb.upf
Dy 162.50 Dy.upf
Bi 208.98 Bi.upf
CELL_PARAMETERS angstrom
-0.043 -4.475 0.440
0.016 1.684 -5.845
17.106 -0.163 0.001
ATOMIC_POSITIONS angstrom
Tb 12.808 -2.419 -0.388
Tb 4.272 -0.534 -5.016
Dy 7.278 -0.248 -1.813
Dy 15.808 -2.763 -3.590
Dy 1.272 -0.190 -1.813
Dy 9.802 -2.706 -3.591
Bi 2.062 -2.648 -3.754
Bi 6.442 -2.690 -3.754
Bi 15.018 -0.305 -1.649
Bi 10.639 -0.263 -1.649
Bi 12.805 -2.742 -3.666
Bi 4.275 -0.212 -1.737
Bi -0.021 -2.237 0.220
Bi 8.532 -2.319 0.221

---

[3]
! TbDy8Bi6 PBE optimized geometry; values from VASP
! formation energy from the elements	-7.8	eV/f.u.
! VASP energy	-4.8323	eV per atom
&SYSTEM
  ibrav = 0, nat = 15, ntyp = 3
/
ATOMIC_SPECIES
Tb 158.93 Tb.upf
Dy 162.50 Dy.upf
Bi 208.98 Bi.upf
CELL_PARAMETERS angstrom
-6.667 2.604 -2.692
-6.508 -1.646 3.663
-3.401 8.454 5.739
ATOMIC_POSITIONS angstrom
Tb 0.000 0.000 0.000
Dy -6.256 4.153 1.391
Dy -8.214 7.231 1.972
Dy -5.926 4.948 4.983
Dy -8.783 0.640 0.648
Dy -7.792 8.773 6.062
Dy -10.650 4.465 1.726
Dy -8.362 2.182 4.737
Dy -10.319 5.260 5.318
Bi -5.814 7.803 3.824
Bi -8.658 3.578 -0.455
Bi -6.374 1.298 2.552
Bi -10.202 8.115 4.157
Bi -7.918 5.835 7.165
Bi -10.762 1.610 2.886

---

Copy entry 3 word for word.
! TbDy8Bi6 PBE optimized geometry; values from VASP
! formation energy from the elements	-7.8	eV/f.u.
! VASP energy	-4.8323	eV per atom
&SYSTEM
  ibrav = 0, nat = 15, ntyp = 3
/
ATOMIC_SPECIES
Tb 158.93 Tb.upf
Dy 162.50 Dy.upf
Bi 208.98 Bi.upf
CELL_PARAMETERS angstrom
-6.667 2.604 -2.692
-6.508 -1.646 3.663
-3.401 8.454 5.739
ATOMIC_POSITIONS angstrom
Tb 0.000 0.000 0.000
Dy -6.256 4.153 1.391
Dy -8.214 7.231 1.972
Dy -5.926 4.948 4.983
Dy -8.783 0.640 0.648
Dy -7.792 8.773 6.062
Dy -10.650 4.465 1.726
Dy -8.362 2.182 4.737
Dy -10.319 5.260 5.318
Bi -5.814 7.803 3.824
Bi -8.658 3.578 -0.455
Bi -6.374 1.298 2.552
Bi -10.202 8.115 4.157
Bi -7.918 5.835 7.165
Bi -10.762 1.610 2.886